[1]
Computed, not measured: a relaxed Ba3Na2NpO8 crystal at the PBE level of DFT.

extended XYZ file:
```
14
Lattice="6.0806 0.0000 0.0000 -3.0403 5.2659 0.0000 0.0000 0.0000 8.1004" Properties=species:S:1:pos:R:3 pbc="T T T"
O 4.6707 0.8140 5.2497
Ba 3.0403 1.7553 2.9631
O 3.0403 1.7553 0.5223
O 3.0403 3.6380 5.2497
O 1.6304 4.4520 2.8507
O 0.0000 1.6280 2.8507
Na 3.0403 1.7553 6.4848
O -1.6304 4.4520 2.8507
O 0.0000 3.5106 7.5781
O 1.4099 0.8140 5.2497
Ba 0.0000 3.5106 5.1372
Np 0.0000 0.0000 4.0502
Ba 0.0000 0.0000 0.0000
Na 0.0000 3.5106 1.6156
```

V (A^3/atom): 18.5
Space group: P-3m1, No. 164
Size of the total moment (μB/f.u.): 1.001
Formation energy (no corrections) (kJ/mol of formula units): -3017.4
Crystal system: trigonal

[2]
Computed, not measured: a relaxed BaNa2NpO4 crystal at the PBE level of DFT.

extended XYZ file:
```
8
Lattice="4.7769 0.0022 0.0000 -0.0026 4.7769 0.0000 -2.3871 -2.3895 6.0023" Properties=species:S:1:pos:R:3 pbc="T T T"
Ba 2.3871 2.3895 0.0000
O 2.3884 0.0011 0.8544
Na 0.0000 0.0000 0.0000
Na -0.0013 2.3884 3.0011
O 2.3884 0.0011 5.1479
O 0.0000 0.0000 3.1019
O 2.3871 2.3895 2.9004
Np 2.3884 0.0011 3.0011
```

V (A^3/atom): 17.1
Space group: I-4m2, No. 119
Size of the total moment (μB/f.u.): 3.000
Formation energy (no corrections) (kJ/mol of formula units): -1773.0
Crystal system: tetragonal

[3]
Computed, not measured: a relaxed Ba3NaNp2O9 crystal at the PBE level of DFT.

extended XYZ file:
```
15
Lattice="-5.6812 1.0270 -2.1384 1.1133 -4.9062 3.5486 -1.5846 4.1148 6.1861" Properties=species:S:1:pos:R:3 pbc="T T T"
O -1.1203 -0.2425 2.8598
O -5.0323 0.4780 4.7365
Na -0.7923 2.0574 3.0930
O -3.2560 -2.0562 3.5191
Np -1.4148 -2.2449 2.6806
O -2.8406 0.5135 -1.0692
O -2.2840 -1.9396 0.7051
O -2.8966 2.2917 4.0771
Ba 0.0000 0.0000 0.0000
O -0.5998 -2.5364 4.5189
Np -4.7378 2.4804 4.9156
O 0.5566 -2.4531 1.7743
Ba -2.1708 -0.2817 5.6320
Ba -3.9817 0.5172 1.9642
O -5.5528 2.7718 3.0773
```

V (A^3/atom): 16.6
Space group: P-3m1, No. 164
Size of the total moment (μB/f.u.): 3.000
Formation energy (no corrections) (kJ/mol of formula units): -4088.9
Crystal system: trigonal

[4]
Computed, not measured: a relaxed Ba2NaNpO5 crystal at the PBE level of DFT.

extended XYZ file:
```
18
Lattice="3.6041 0.0000 0.0000 -1.8021 7.9288 0.0000 0.0000 0.0000 11.0547" Properties=species:S:1:pos:R:3 pbc="T T T"
O 1.8021 3.5755 1.4873
O 0.0000 1.6237 0.1681
O 0.0000 7.9166 2.9872
O 1.8021 0.0122 8.5146
Ba 1.8021 6.0893 2.5057
Ba 1.8021 6.0483 8.7050
O 0.0000 4.4104 4.2303
Ba 0.0000 1.8395 8.0330
O 0.0000 5.6399 0.0765
Na 1.8021 0.3021 10.9609
O 0.0000 4.3533 7.0146
Na 0.0000 7.6266 5.4335
O 1.8021 3.5184 9.7576
O 1.8021 2.2889 5.6038
Np 1.8021 4.3281 5.6247
O 1.8021 6.3051 5.6954
Np 0.0000 3.6007 0.0973
Ba 0.0000 1.8805 3.1776
```

V (A^3/atom): 17.6
Space group: Cmc2_1, No. 36
Size of the total moment (μB/f.u.): 2.000
Formation energy (no corrections) (kJ/mol of formula units): -2257.6
Crystal system: orthorhombic

[5]
Computed, not measured: a relaxed Ba4NaNp3O12 crystal at the PBE level of DFT.

extended XYZ file:
```
20
Lattice="-6.5021 3.9433 0.0866 -1.4072 -7.2491 1.8179 4.8425 2.9851 5.0472" Properties=species:S:1:pos:R:3 pbc="T T T"
O -5.7650 -2.4095 1.3881
Ba -3.2511 1.9717 0.0433
O 0.0290 2.3982 4.2832
O -1.2097 5.0499 3.7420
O -3.0959 -2.7189 2.6685
O 0.9314 -1.1561 1.8613
Np -3.9547 -1.6529 0.9522
Ba -1.5334 -0.1604 3.4759
O -4.3696 0.0792 2.2357
O 1.3027 -0.3999 4.7160
Np 1.7176 -2.1320 3.4326
Ba 2.4212 1.4925 2.5236
O -2.1444 -0.8963 0.5163
Np -0.8298 3.4642 2.5669
O -2.8071 2.6377 3.0430
O -0.4500 1.8784 1.3919
O -0.2597 -2.9585 3.9087
Na 0.0000 0.0000 0.0000
O 2.5039 -3.1080 5.0038
Ba -0.7036 -3.6246 0.9089
```

V (A^3/atom): 16.9
Space group: Im-3m, No. 229
Size of the total moment (μB/f.u.): 6.000
Formation energy (no corrections) (kJ/mol of formula units): -5595.9
Crystal system: cubic

[6]
Computed, not measured: a relaxed BaNa2Np2O7 crystal at the PBE level of DFT.

extended XYZ file:
```
12
Lattice="-3.5682 -2.0556 -1.4502 -0.0327 -2.4788 3.5943 -3.9907 9.0543 3.5553" Properties=species:S:1:pos:R:3 pbc="T T T"
O -1.1683 0.1105 2.7176
Na -4.6790 2.3649 1.5877
Ba -7.5914 4.5197 5.6992
O -5.7910 6.7870 4.6272
Na -2.9122 2.1547 4.1114
O -4.2131 0.5606 2.9998
O -6.4235 4.4098 2.9819
O -2.9364 0.3224 0.1954
O -3.3786 3.9595 2.6995
Np -3.0553 -0.7966 2.0748
O -4.6555 4.1979 5.5040
Np -4.5364 5.3167 3.6246
```

V (A^3/atom): 16.0
Space group: I4/mmm, No. 139
Size of the total moment (μB/f.u.): 4.000
Formation energy (no corrections) (kJ/mol of formula units): -3113.8
Crystal system: tetragonal

[7]
Computed, not measured: a relaxed BaNaNpO6 crystal at the PBE level of DFT.

extended XYZ file:
```
9
Lattice="5.8641 0.0019 0.0003 2.9337 5.0776 -0.0004 0.0005 -0.0009 5.4624" Properties=species:S:1:pos:R:3 pbc="T T T"
O 4.5519 1.7341 3.8372
O 3.7094 0.2694 1.6282
O 2.1565 0.2711 3.8366
Ba 8.7979 5.0785 5.4621
O 1.3132 1.7309 1.6259
Np 2.9329 1.6928 2.7312
O 3.7778 3.0744 1.6250
Na 5.8643 3.3854 2.7309
O 2.0883 3.0770 3.8341
```

V (A^3/atom): 18.1
Space group: P312, No. 149
Size of the total moment (μB/f.u.): 2.060
Formation energy (no corrections) (kJ/mol of formula units): -1810.3
Crystal system: trigonal

[8]
Computed, not measured: a relaxed Ba2NaNpO4 crystal at the PBE level of DFT.

extended XYZ file:
```
8
Lattice="-2.5035 2.2744 -1.4217 1.2747 -2.1733 -5.7213 -4.7809 -3.6515 2.5770" Properties=species:S:1:pos:R:3 pbc="T T T"
O -0.0482 -2.2840 -3.5689
Ba -3.6422 -0.6886 0.5776
O -1.8541 -0.2132 -1.8104
O -3.4579 -3.5408 0.4246
O -4.1555 -3.3373 -2.7557
Na 0.0000 0.0000 0.0000
Ba -1.7531 -2.9124 -1.5721
Np -0.6144 0.0505 -3.5715
```

V (A^3/atom): 17.8
Space group: P2/m, No. 10
Size of the total moment (μB/f.u.): 3.622
Formation energy (no corrections) (kJ/mol of formula units): -1766.4
Crystal system: monoclinic